VASP calculation (PBE) on crystalline Tm2ScTl2 at its relaxed geometry.

Cell: 5.0277 5.0277 12.4848 Å, 90.00 90.00 120.00°
Positions (direct):
Tm1 0.6667 0.3333 0.7500
Tm2 0.0000 0.0000 0.0000
Tm3 0.0000 0.0000 0.5000
Tm4 0.3333 0.6667 0.2500
Sc1 0.0000 0.0000 0.2500
Sc2 0.0000 0.0000 0.7500
Tl1 0.3333 0.6667 0.6248
Tl2 0.6667 0.3333 0.1248
Tl3 0.6667 0.3333 0.3752
Tl4 0.3333 0.6667 0.8752

Calculated values
The calculation puts the magnetic moment at 0.00 μB per cell. For the density of states at the Fermi level, the calculation gives 6.87 states/eV/cell. The value obtained for the formation energy is 19 meV/atom. For the volume, the calculation gives 27.33 A^3/atom. The calculation puts the energy above the most stable polymorph in this dataset at 228 meV per atom.